# BeZnTeO (PBE, relaxed)
# * polymorph energy (0 for the lowest one): 223.9 kJ/mol of atoms
data_BeZnTeO
_chemical_formula_sum 'Be2 Zn2 Te2 O2'
_space_group_name_H-M_alt 'P 4/n m m'
_space_group_IT_number 129
_cell_length_a 9.3582
_cell_length_b 9.3582
_cell_length_c 13.7987
_cell_angle_alpha 90.00
_cell_angle_beta 90.00
_cell_angle_gamma 90.00
loop_
_space_group_symop_operation_xyz
'x,y,z'
'-x,-y,-z'
'-y+1/2,x,z'
'y+1/2,-x,-z'
'-x+1/2,-y+1/2,z'
'x+1/2,y+1/2,-z'
'y,-x+1/2,z'
'-y,x+1/2,-z'
'x+1/2,-y,-z'
'-x+1/2,y,z'
'-y,-x,-z'
'y,x,z'
'-x,y+1/2,-z'
'x,-y+1/2,z'
'y+1/2,x+1/2,-z'
'-y+1/2,-x+1/2,z'
loop_
_atom_site_label
_atom_site_fract_x
_atom_site_fract_y
_atom_site_fract_z
_atom_site_occupancy
Be1 0.2500 0.2500 0.0516 1
Zn1 0.2500 0.2500 0.2229 1
Te1 0.2500 0.7500 0.5000 1
O1 0.2500 0.2500 0.9529 1